No. 1
Entry from the Alexandria database: a relaxed structure of Fe3GeB (PBE).

Values from the calculation:
The value obtained for the total moment is 7.671 μB/f.u. The volume comes out at 16.567 Å³/atom. The value obtained for the formation energy from the elements is 1.68 eV/atom. As for the theoretical density: 5031 kg/m³. Its symmetry is Pm-3m, No. 221. The value obtained for the density of states at the Fermi level is 7.17 states/eV/cell.

a b c (Å): 4.3591 4.3591 4.3591
angles (deg): 90.00 90.00 90.00
Last column: nearest neighbours and their distance in Å.
Fractional positions:
Ge (0.0000, 0.0000, 0.0000)  6 Fe 2.18
B (0.5000, 0.5000, 0.5000)  12 Fe 3.08
Fe (0.0000, 0.5000, 0.0000)  2 Ge 2.18
Fe (0.0000, 0.0000, 0.5000)  2 Ge 2.18
Fe (0.5000, 0.0000, 0.0000)  2 Ge 2.18



No. 2
Entry from the Alexandria database: a relaxed structure of Tl2Cd5Sn2Hg3 (PBE).

Values from the calculation:
The value obtained for the total moment is 0.000 μB/f.u. The volume comes out at 30.168 Å³/atom. The value obtained for the formation energy from the elements is 0.09 eV/atom. As for the theoretical density: 8302 kg/m³. Its symmetry is I4/mmm, No. 139. The value obtained for the density of states at the Fermi level is 4.22 states/eV/cell.

a b c (Å): 4.6659 4.6659 16.9526
angles (deg): 97.91 97.91 90.00
Last column: nearest neighbours and their distance in Å.
Fractional positions:
Tl (0.7110, 0.7110, 0.4221)  5 Hg 3.09-3.34, 4 Cd 3.43
Tl (0.2890, 0.2890, 0.5779)  5 Hg 3.09-3.34, 4 Cd 3.43
Cd (0.6355, 0.1355, 0.2710)  2 Sn 2.88, 2 Hg 3.08
Cd (0.3645, 0.8645, 0.7290)  2 Sn 2.88, 2 Hg 3.08
Cd (0.1355, 0.6355, 0.2710)  2 Sn 2.88, 2 Hg 3.08
Cd (0.8645, 0.3645, 0.7290)  2 Sn 2.88, 2 Hg 3.08
Cd (0.5000, 0.5000, 0.0000)  2 Sn 2.81
Sn (0.4155, 0.4155, 0.8310)  5 Cd 2.81-2.88
Sn (0.5845, 0.5845, 0.1690)  5 Cd 2.81-2.88
Hg (0.1961, 0.1961, 0.3921)  4 Cd 3.08, 5 Tl 3.09-3.34
Hg (0.8039, 0.8039, 0.6079)  4 Cd 3.08, 5 Tl 3.09-3.34
Hg (0.0000, 0.0000, 0.0000)  4 Cd 3.30



No. 3
Entry from the Alexandria database: a relaxed structure of CaAgSeN2 (PBE).

Values from the calculation:
As for the energy relative to the elements, uncorrected: 6.39 eV/f.u. The value obtained for the total moment is 4.693 μB/f.u. The volume comes out at 24.075 Å³/atom. As for the theoretical density: 3517 kg/m³. Its symmetry is P4/mmm, No. 123. The value obtained for the density of states at the Fermi level is 1.73 states/eV/cell.

a b c (Å): 4.5194 4.5194 5.8934
angles (deg): 90.00 90.00 90.00
Last column: nearest neighbours and their distance in Å.
Fractional positions:
Ca (0.0000, 0.0000, 0.0000)  4 N 2.26
Se (0.0000, 0.0000, 0.5000)  2 Ca 2.95, 4 Ag 3.20
Ag (0.5000, 0.5000, 0.5000)  4 Se 3.20
N (0.0000, 0.5000, 0.0000)  2 Ca 2.26
N (0.5000, 0.0000, 0.0000)  2 Ca 2.26



No. 4
Entry from the Alexandria database: a relaxed structure of Sr2Ca4H2Pb3 (PBE).

Values from the calculation:
The calculation puts the total energy at -35.1 eV per formula unit. The value obtained for the total moment is 0.000 μB/f.u. The volume comes out at 29.487 Å³/atom. As for the theoretical density: 4910 kg/m³. Its symmetry is I4/mmm, No. 139. The value obtained for the density of states at the Fermi level is 0.29 states/eV/cell.

a b c (Å): 5.1696 5.1696 12.6753
angles (deg): 101.77 101.77 90.00
Last column: nearest neighbours and their distance in Å.
Fractional positions:
Sr (0.3016, 0.3016, 0.6033)  1 H 2.55
Sr (0.6984, 0.6984, 0.3967)  1 H 2.55
Ca (0.4203, 0.9203, 0.8405)  2 H 2.61
Ca (0.9203, 0.4203, 0.8405)  2 H 2.61
Ca (0.0797, 0.5797, 0.1595)  2 H 2.61
Ca (0.5797, 0.0797, 0.1595)  2 H 2.61
H (0.4069, 0.4069, 0.8138)  1 Sr 2.55, 4 Ca 2.61
H (0.5931, 0.5931, 0.1862)  1 Sr 2.55, 4 Ca 2.61
Pb (0.0000, 0.0000, 0.0000)  8 Ca 3.23
Pb (0.1618, 0.1618, 0.3236)  4 Ca 3.26, 1 Sr 3.39
Pb (0.8382, 0.8382, 0.6764)  4 Ca 3.26, 1 Sr 3.39



No. 5
Entry from the Alexandria database: a relaxed structure of Ce2YTc (PBE).

Values from the calculation:
The value obtained for the total moment is 0.000 μB/f.u. The volume comes out at 26.637 Å³/atom. The value obtained for the formation energy from the elements is -0.09 eV/atom. As for the theoretical density: 7280 kg/m³. Its symmetry is Pnma, No. 62. The value obtained for the density of states at the Fermi level is 31.52 states/eV/cell.

a b c (Å): 6.1768 7.1742 9.6177
angles (deg): 90.00 90.00 90.00
Last column: nearest neighbours and their distance in Å.
Fractional positions:
Ce (0.1443, 0.6594, 0.0638)  1 Tc 2.46
Ce (0.3557, 0.1594, 0.4362)  1 Tc 2.46
Ce (0.8557, 0.3406, 0.5638)  1 Tc 2.46
Ce (0.6443, 0.8406, 0.9362)  1 Tc 2.46
Ce (0.8557, 0.3406, 0.9362)  1 Tc 2.46
Ce (0.6443, 0.8406, 0.5638)  1 Tc 2.46
Ce (0.1443, 0.6594, 0.4362)  1 Tc 2.46
Ce (0.3557, 0.1594, 0.0638)  1 Tc 2.46
Y (0.6283, 0.5525, 0.2500)  3 Tc 3.05-3.33
Y (0.8717, 0.0525, 0.2500)  3 Tc 3.05-3.33
Y (0.3717, 0.4475, 0.7500)  3 Tc 3.05-3.33
Y (0.1283, 0.9475, 0.7500)  3 Tc 3.05-3.33
Tc (0.1092, 0.4260, 0.2500)  2 Ce 2.46
Tc (0.3908, 0.9260, 0.2500)  2 Ce 2.46
Tc (0.8908, 0.5740, 0.7500)  2 Ce 2.46
Tc (0.6092, 0.0740, 0.7500)  2 Ce 2.46



No. 6
Entry from the Alexandria database: a relaxed structure of Ta5VW2 (PBE).

Values from the calculation:
The value obtained for the total moment is 0.000 μB/f.u. The volume comes out at 17.152 Å³/atom. The value obtained for the formation energy from the elements is -0.03 eV/atom. As for the theoretical density: 16014 kg/m³. Its symmetry is I4/mmm, No. 139. The value obtained for the density of states at the Fermi level is 9.70 states/eV/cell.

a b c (Å): 4.5799 4.5799 7.2995
angles (deg): 108.28 108.28 90.00
Last column: nearest neighbours and their distance in Å.
Fractional positions:
Ta (0.5000, 0.5000, 0.0000)  8 Ta 2.83
Ta (0.6267, 0.1267, 0.2533)  4 W 2.80, 2 V 2.83, 2 Ta 2.83
Ta (0.1267, 0.6267, 0.2533)  4 W 2.80, 2 Ta 2.83, 2 V 2.83
Ta (0.3733, 0.8733, 0.7467)  4 W 2.80, 2 V 2.83, 2 Ta 2.83
Ta (0.8733, 0.3733, 0.7467)  4 W 2.80, 2 Ta 2.83, 2 V 2.83
V (0.0000, 0.0000, 0.0000)  8 Ta 2.83
W (0.2498, 0.2498, 0.4997)  8 Ta 2.80
W (0.7502, 0.7502, 0.5003)  8 Ta 2.80